Computed, not measured: TePbCl3 after structural relaxation at the PBE-GGA level of DFT.

For the energy above the lowest structure with this stoichiometry, the calculation gives 0.0 meV per atom. The calculation puts the uncorrected formation energy at -345 meV per atom. The space-group type is Pm-3m. The calculation puts the density of states at the Fermi level at 0.908 states/eV/atom. As for the total magnetization: 0.583 μB per atom.

Cell lengths 5.641, 5.641, 5.641 Å; angles 90.00, 90.00, 90.00 degrees
Site moments in Bohr magnetons follow the coordinates.
Positions (direct):
Pb1 0.000 0.000 0.000  0.00
Te1 0.500 0.500 0.500  1.38
Cl1 0.000 0.500 0.000  0.07
Cl2 0.000 0.000 0.500  0.13
Cl3 0.500 0.000 0.000  0.10


Computed, not measured: Te3PbCl after structural relaxation at the PBE-GGA level of DFT.

For the energy above the lowest structure with this stoichiometry, the calculation gives 240.0 meV per atom. The calculation puts the uncorrected formation energy at 626 meV per atom. The space-group type is Pm-3m. The calculation puts the density of states at the Fermi level at 2.270 states/eV/atom. As for the total magnetization: 0.000 μB per atom.

Cell lengths 5.875, 5.875, 5.875 Å; angles 90.00, 90.00, 90.00 degrees
Positions (direct):
Pb1 0.000 0.000 0.000
Te1 0.000 0.500 0.000
Te2 0.000 0.000 0.500
Te3 0.500 0.000 0.000
Cl1 0.500 0.500 0.500